# Ho2In2Pd5 (PBE, relaxed)
data_Ho2In2Pd5
_chemical_formula_sum 'Ho8 In8 Pd20'
_cell_length_a 14.455
_cell_length_b 7.102
_cell_length_c 7.323
_cell_angle_alpha 90.00
_cell_angle_beta 90.00
_cell_angle_gamma 90.00
_space_group_name_H-M_alt 'I m a 2'
_space_group_IT_number 46
loop_
_space_group_symop_operation_xyz
'x,y,z'
'-x,-y,z'
'-x+1/2,y,z'
'x+1/2,-y,z'
'x+1/2,y+1/2,z+1/2'
'-x+1/2,-y+1/2,z+1/2'
'-x,y+1/2,z+1/2'
'x,-y+1/2,z+1/2'
loop_
_atom_site_label
_atom_site_fract_x
_atom_site_fract_y
_atom_site_fract_z
Ho1 0.125 0.045 0.000
In1 0.000 0.000 0.406
In2 0.250 0.525 0.109
Pd1 0.015 0.190 0.716
Pd2 0.158 0.692 0.813
Pd3 0.250 0.187 0.288
# Calculated volume   751.8 Å³ per cell
# DOS at the Fermi energy   15.390 states/eV/cell
# ΔH_f (0 K)   -0.58 eV per atom
# Crystal system   orthorhombic
# M_tot   0.000 μB per cell

***

# CsBeGa3 (PBE, relaxed)
data_CsBeGa3
_chemical_formula_sum 'Cs1 Be1 Ga3'
_cell_length_a 6.152
_cell_length_b 6.152
_cell_length_c 6.152
_cell_angle_alpha 90.00
_cell_angle_beta 90.00
_cell_angle_gamma 90.00
_space_group_name_H-M_alt 'P m -3 m'
_space_group_IT_number 221
_space_group_name_Hall '-P 4 2 3'
loop_
_atom_site_label
_atom_site_fract_x
_atom_site_fract_y
_atom_site_fract_z
Cs1 0.000 0.000 0.000
Be1 0.500 0.500 0.500
Ga1 0.000 0.000 0.500
# Calculated volume   232.9 Å³ per cell
# DOS at the Fermi energy   8.855 states/eV/cell
# ΔH_f (0 K)   1.76 eV per atom
# Crystal system   cubic
# M_tot   0.000 μB per cell

***

# BeTe2P (PBE, relaxed)
data_BeTe2P
_chemical_formula_sum 'Be2 Te4 P2'
_cell_length_a 3.696
_cell_length_b 7.303
_cell_length_c 8.350
_cell_angle_alpha 90.00
_cell_angle_beta 90.00
_cell_angle_gamma 90.00
_space_group_name_H-M_alt 'I m m m'
_space_group_IT_number 71
_space_group_name_Hall '-I 2 2'
loop_
_atom_site_label
_atom_site_fract_x
_atom_site_fract_y
_atom_site_fract_z
Be1 0.000 0.000 0.000
Te1 0.000 0.267 0.500
P1 0.000 0.500 0.000
# Calculated volume   225.4 Å³ per cell
# DOS at the Fermi energy   3.601 states/eV/cell
# Calculated total energy   -3.365 eV/atom
# Crystal system   orthorhombic
# M_tot   0.000 μB per cell

***

# Zr8As3C4 (PBE, relaxed)
data_Zr8As3C4
_chemical_formula_sum 'Zr16 As6 C8'
_cell_length_a 10.148
_cell_length_b 10.155
_cell_length_c 7.063
_cell_angle_alpha 90.00
_cell_angle_beta 133.93
_cell_angle_gamma 90.00
_space_group_name_H-M_alt 'C 1 2/m 1'
_space_group_IT_number 12
loop_
_space_group_symop_operation_xyz
'x,y,z'
'-x,-y,-z'
'-x,y,-z'
'x,-y,z'
'x+1/2,y+1/2,z'
'-x+1/2,-y+1/2,-z'
'-x+1/2,y+1/2,-z'
'x+1/2,-y+1/2,z'
loop_
_atom_site_label
_atom_site_fract_x
_atom_site_fract_y
_atom_site_fract_z
Zr1 0.000 0.231 0.000
Zr2 0.000 0.233 0.500
Zr3 0.211 0.000 0.956
Zr4 0.226 0.000 0.476
As1 0.000 0.500 0.000
As2 0.250 0.250 0.000
C1 0.000 0.000 0.000
C2 0.000 0.000 0.500
C3 0.250 0.250 0.500
# Calculated volume   524.2 Å³ per cell
# DOS at the Fermi energy   13.548 states/eV/cell
# ΔH_f (0 K)   -0.65 eV per atom
# Crystal system   monoclinic
# M_tot   0.000 μB per cell

***

# IrPdPb2 (PBE, relaxed)
data_IrPdPb2
_chemical_formula_sum 'Ir4 Pd4 Pb8'
_cell_length_a 6.390
_cell_length_b 6.390
_cell_length_c 11.588
_cell_angle_alpha 90.00
_cell_angle_beta 90.00
_cell_angle_gamma 90.00
_space_group_name_H-M_alt 'I -4 2 d'
_space_group_IT_number 122
_space_group_name_Hall 'I -4 2bw'
loop_
_atom_site_label
_atom_site_fract_x
_atom_site_fract_y
_atom_site_fract_z
Ir1 0.000 0.000 0.000
Pd1 0.000 0.000 0.500
Pb1 0.241 0.250 0.125
# Calculated volume   473.2 Å³ per cell
# DOS at the Fermi energy   5.290 states/eV/cell
# ΔH_f (0 K)   0.49 eV per atom
# Crystal system   tetragonal
# M_tot   0.000 μB per cell

***

# DyYEr (PBE, relaxed)
data_DyYEr
_chemical_formula_sum 'Dy2 Y2 Er2'
_cell_length_a 3.535
_cell_length_b 3.535
_cell_length_c 15.066
_cell_angle_alpha 90.00
_cell_angle_beta 90.00
_cell_angle_gamma 90.00
_space_group_name_H-M_alt 'I 4 m m'
_space_group_IT_number 107
_space_group_name_Hall 'I 4 -2'
loop_
_atom_site_label
_atom_site_fract_x
_atom_site_fract_y
_atom_site_fract_z
Dy1 0.000 0.000 0.000
Y1 0.000 0.000 0.668
Er1 0.000 0.000 0.335
# Calculated volume   188.3 Å³ per cell
# DOS at the Fermi energy   8.265 states/eV/cell
# ΔH_f (0 K)   0.02 eV per atom
# Crystal system   tetragonal
# M_tot   0.000 μB per cell

***

# Ca4ErGa5 (PBE, relaxed)
data_Ca4ErGa5
_chemical_formula_sum 'Ca4 Er1 Ga5'
_cell_length_a 3.654
_cell_length_b 3.654
_cell_length_c 18.121
_cell_angle_alpha 90.00
_cell_angle_beta 90.00
_cell_angle_gamma 90.00
_space_group_name_H-M_alt 'P 4/m m m'
_space_group_IT_number 123
_space_group_name_Hall '-P 4 2'
loop_
_atom_site_label
_atom_site_fract_x
_atom_site_fract_y
_atom_site_fract_z
Ca1 0.000 0.000 0.101
Ca2 0.000 0.000 0.303
Er1 0.000 0.000 0.500
Ga1 0.500 0.500 0.000
Ga2 0.500 0.500 0.201
Ga3 0.500 0.500 0.408
# Calculated volume   242.0 Å³ per cell
# DOS at the Fermi energy   5.840 states/eV/cell
# ΔH_f (0 K)   -0.47 eV per atom
# Crystal system   tetragonal
# M_tot   0.000 μB per cell

***

# U2ZnRh9 (PBE, relaxed)
data_U2ZnRh9
_chemical_formula_sum 'U2 Zn1 Rh9'
_cell_length_a 4.006
_cell_length_b 4.006
_cell_length_c 11.646
_cell_angle_alpha 90.00
_cell_angle_beta 90.00
_cell_angle_gamma 90.00
_space_group_name_H-M_alt 'P 4/m m m'
_space_group_IT_number 123
_space_group_name_Hall '-P 4 2'
loop_
_atom_site_label
_atom_site_fract_x
_atom_site_fract_y
_atom_site_fract_z
U1 0.000 0.000 0.176
Zn1 0.000 0.000 0.500
Rh1 0.000 0.500 0.000
Rh2 0.000 0.500 0.340
Rh3 0.500 0.500 0.170
Rh4 0.500 0.500 0.500
# Calculated volume   186.9 Å³ per cell
# DOS at the Fermi energy   11.082 states/eV/cell
# ΔH_f (0 K)   -0.50 eV per atom
# Crystal system   tetragonal
# M_tot   0.000 μB per cell

***

# Zr2AgSe (PBE, relaxed)
data_Zr2AgSe
_chemical_formula_sum 'Zr4 Ag2 Se2'
_cell_length_a 6.333
_cell_length_b 7.610
_cell_length_c 3.276
_cell_angle_alpha 90.00
_cell_angle_beta 90.15
_cell_angle_gamma 90.00
_space_group_name_H-M_alt 'C 1 2/m 1'
_space_group_IT_number 12
loop_
_space_group_symop_operation_xyz
'x,y,z'
'-x,-y,-z'
'-x,y,-z'
'x,-y,z'
'x+1/2,y+1/2,z'
'-x+1/2,-y+1/2,-z'
'-x+1/2,y+1/2,-z'
'x+1/2,-y+1/2,z'
loop_
_atom_site_label
_atom_site_fract_x
_atom_site_fract_y
_atom_site_fract_z
Zr1 0.250 0.250 0.000
Ag1 0.000 0.000 0.500
Se1 0.000 0.500 0.500
# Calculated volume   157.9 Å³ per cell
# DOS at the Fermi energy   3.889 states/eV/cell
# Calculated total energy   -6.299 eV/atom
# Crystal system   monoclinic
# M_tot   0.000 μB per cell

***

# BaHgCl2 (PBE, relaxed)
data_BaHgCl2
_chemical_formula_sum 'Ba2 Hg2 Cl4'
_cell_length_a 16.626
_cell_length_b 4.147
_cell_length_c 4.777
_cell_angle_alpha 90.00
_cell_angle_beta 106.39
_cell_angle_gamma 90.00
_space_group_name_H-M_alt 'C 1 m 1'
_space_group_IT_number 8
loop_
_space_group_symop_operation_xyz
'x,y,z'
'x,-y,z'
'x+1/2,y+1/2,z'
'x+1/2,-y+1/2,z'
loop_
_atom_site_label
_atom_site_fract_x
_atom_site_fract_y
_atom_site_fract_z
Ba1 0.000 0.000 0.000
Hg1 0.275 0.000 0.780
Cl1 0.133 0.500 0.132
Cl2 0.456 0.000 0.457
# Calculated volume   316.0 Å³ per cell
# DOS at the Fermi energy   0.000 states/eV/cell
# Calculated total energy   -3.179 eV/atom
# Crystal system   monoclinic
# M_tot   0.000 μB per cell

***

# LiGdLuRh (PBE, relaxed)
data_LiGdLuRh
_chemical_formula_sum 'Li4 Gd4 Lu4 Rh4'
_cell_length_a 6.935
_cell_length_b 6.935
_cell_length_c 6.935
_cell_angle_alpha 90.00
_cell_angle_beta 90.00
_cell_angle_gamma 90.00
_space_group_name_H-M_alt 'F -4 3 m'
_space_group_IT_number 216
_space_group_name_Hall 'F -4 2 3'
loop_
_atom_site_label
_atom_site_fract_x
_atom_site_fract_y
_atom_site_fract_z
Li1 0.000 0.000 0.000
Gd1 0.250 0.250 0.250
Lu1 0.250 0.250 0.750
Rh1 0.000 0.000 0.500
# Calculated volume   333.5 Å³ per cell
# DOS at the Fermi energy   10.112 states/eV/cell
# ΔH_f (0 K)   -0.49 eV per atom
# Crystal system   cubic
# M_tot   28.610 μB per cell

***

# MgPaTlGa (PBE, relaxed)
data_MgPaTlGa
_chemical_formula_sum 'Mg4 Pa4 Tl4 Ga4'
_cell_length_a 7.191
_cell_length_b 7.191
_cell_length_c 7.191
_cell_angle_alpha 90.00
_cell_angle_beta 90.00
_cell_angle_gamma 90.00
_space_group_name_H-M_alt 'F -4 3 m'
_space_group_IT_number 216
_space_group_name_Hall 'F -4 2 3'
loop_
_atom_site_label
_atom_site_fract_x
_atom_site_fract_y
_atom_site_fract_z
Mg1 0.000 0.000 0.000
Pa1 0.000 0.000 0.500
Tl1 0.250 0.250 0.750
Ga1 0.250 0.250 0.250
# Calculated volume   371.8 Å³ per cell
# DOS at the Fermi energy   15.768 states/eV/cell
# ΔH_f (0 K)   0.02 eV per atom
# Crystal system   cubic
# M_tot   2.030 μB per cell